Record 1
DFT (PBE) results for PrSm2DyIn4 after structural relaxation.

## Properties
Total magnetic moment in μB/cell: 0.0
ΔH_f (0 K) in eV per atom: -0.48
V in A^3/atom: 28.1

```
data_PrSm2DyIn4
_chemical_formula_sum 'Pr3 Sm6 Dy3 In12'
_space_group_name_H-M_alt 'R -3 m'
_space_group_IT_number 166
_space_group_name_Hall '-R 3 2"'
_cell_length_a 5.4133
_cell_length_b 5.4133
_cell_length_c 26.5864
_cell_angle_alpha 90.00
_cell_angle_beta 90.00
_cell_angle_gamma 120.00
loop_
_atom_site_label
_atom_site_type_symbol
_atom_site_fract_x
_atom_site_fract_y
_atom_site_fract_z
Pr1 Pr 0.0000 0.0000 0.0000
Sm1 Sm 0.0000 0.0000 0.2495
Dy1 Dy 0.0000 0.0000 0.5000
In1 In 0.0000 0.0000 0.1264
In2 In 0.0000 0.0000 0.3766
```


Record 2
DFT (PBE) results for VSIN2 after structural relaxation.

## Properties
Raw formation energy in kJ per mole of atoms: 180.77
Total magnetic moment in μB/cell: 0.2
Energy above the lowest structure with this stoichiometry in meV/atom: 1269
V in A^3/atom: 17.8

```
data_VSIN2
_chemical_formula_sum 'V1 S1 I1 N2'
_space_group_name_H-M_alt 'P 4/m m m'
_space_group_IT_number 123
_space_group_name_Hall '-P 4 2'
_cell_length_a 3.642
_cell_length_b 3.642
_cell_length_c 6.697
_cell_angle_alpha 90.00
_cell_angle_beta 90.00
_cell_angle_gamma 90.00
loop_
_atom_site_label
_atom_site_type_symbol
_atom_site_fract_x
_atom_site_fract_y
_atom_site_fract_z
V1 V 0.000 0.000 0.000
S1 S 0.500 0.500 0.500
I1 I 0.500 0.500 0.000
N1 N 0.000 0.500 0.500
```


Record 3
DFT (PBE) results for Cs2NaIn after structural relaxation.

## Properties
Total magnetic moment in μB/cell: 0.0
ΔH_f (0 K) in eV per atom: 0.09
V in A^3/atom: 56.9

```
data_Cs2NaIn
_chemical_formula_sum 'Cs2 Na1 In1'
_space_group_name_H-M_alt 'P 4/m m m'
_space_group_IT_number 123
_space_group_name_Hall '-P 4 2'
_cell_length_a 4.854
_cell_length_b 4.854
_cell_length_c 9.657
_cell_angle_alpha 90.00
_cell_angle_beta 90.00
_cell_angle_gamma 90.00
loop_
_atom_site_label
_atom_site_type_symbol
_atom_site_fract_x
_atom_site_fract_y
_atom_site_fract_z
Cs1 Cs 0.000 0.000 0.226
Na1 Na 0.500 0.500 0.500
In1 In 0.500 0.500 0.000
```


Record 4
DFT (PBE) results for CsTl2Cd after structural relaxation.

## Properties
Total magnetic moment in μB/cell: 0.0
ΔH_f (0 K) in eV per atom: -0.04
Energy above the lowest structure with this stoichiometry in meV/atom: 34
V in A^3/atom: 34.8

```
data_CsTl2Cd
_chemical_formula_sum 'Cs1 Tl2 Cd1'
_space_group_name_H-M_alt 'P 4/m m m'
_space_group_IT_number 123
_space_group_name_Hall '-P 4 2'
_cell_length_a 3.884
_cell_length_b 3.884
_cell_length_c 9.218
_cell_angle_alpha 90.00
_cell_angle_beta 90.00
_cell_angle_gamma 90.00
loop_
_atom_site_label
_atom_site_type_symbol
_atom_site_fract_x
_atom_site_fract_y
_atom_site_fract_z
Cs1 Cs 0.000 0.000 0.000
Tl1 Tl 0.500 0.500 0.312
Cd1 Cd 0.000 0.000 0.500
```


Record 5
DFT (PBE) results for Be2AsW after structural relaxation.

## Properties
Total magnetic moment in μB/cell: 0.0
ΔH_f (0 K) in eV per atom: 0.16
V in A^3/atom: 12.6

```
data_Be2AsW
_chemical_formula_sum 'Be2 As1 W1'
_space_group_name_H-M_alt 'P 4 m m'
_space_group_IT_number 99
_space_group_name_Hall 'P 4 -2'
_cell_length_a 3.173
_cell_length_b 3.173
_cell_length_c 4.986
_cell_angle_alpha 90.00
_cell_angle_beta 90.00
_cell_angle_gamma 90.00
loop_
_atom_site_label
_atom_site_type_symbol
_atom_site_fract_x
_atom_site_fract_y
_atom_site_fract_z
Be1 Be 0.000 0.000 0.000
Be2 Be 0.500 0.500 0.208
As1 As 0.500 0.500 0.746
W1 W 0.000 0.000 0.481
```


Record 6
DFT (PBE) results for TaReCl2 after structural relaxation.

## Properties
Raw formation energy in kJ per mole of atoms: 116.90
Total magnetic moment in μB/cell: 0.0
Energy above the lowest structure with this stoichiometry in meV/atom: 1712
V in A^3/atom: 15.2

```
data_TaReCl2
_chemical_formula_sum 'Ta4 Re4 Cl8'
_space_group_name_H-M_alt 'F m -3 m'
_space_group_IT_number 225
_space_group_name_Hall '-F 4 2 3'
_cell_length_a 6.241
_cell_length_b 6.241
_cell_length_c 6.241
_cell_angle_alpha 90.00
_cell_angle_beta 90.00
_cell_angle_gamma 90.00
loop_
_atom_site_label
_atom_site_type_symbol
_atom_site_fract_x
_atom_site_fract_y
_atom_site_fract_z
Ta1 Ta 0.000 0.000 0.000
Re1 Re 0.000 0.000 0.500
Cl1 Cl 0.250 0.250 0.250
```


Record 7
DFT (PBE) results for Dy2AgS3 after structural relaxation.

## Properties
Raw formation energy in kJ per mole of atoms: -134.00
Total magnetic moment in μB/cell: 0.0
V in A^3/atom: 21.3

```
data_Dy2AgS3
_chemical_formula_sum 'Dy4 Ag2 S6'
_space_group_name_H-M_alt 'I m m m'
_space_group_IT_number 71
_space_group_name_Hall '-I 2 2'
_cell_length_a 3.606
_cell_length_b 4.575
_cell_length_c 15.468
_cell_angle_alpha 90.00
_cell_angle_beta 90.00
_cell_angle_gamma 90.00
loop_
_atom_site_label
_atom_site_type_symbol
_atom_site_fract_x
_atom_site_fract_y
_atom_site_fract_z
Dy1 Dy 0.000 0.000 0.143
Ag1 Ag 0.000 0.000 0.500
S1 S 0.000 0.000 0.320
S2 S 0.000 0.500 0.500
```


Record 8
DFT (PBE) results for PrEr4Sc3 after structural relaxation.

## Properties
Total magnetic moment in μB/cell: 0.0
ΔH_f (0 K) in eV per atom: 0.03
Energy above the lowest structure with this stoichiometry in meV/atom: 0
V in A^3/atom: 29.0

```
data_PrEr4Sc3
_chemical_formula_sum 'Pr2 Er8 Sc6'
_space_group_name_H-M_alt 'P m n 21'
_space_group_IT_number 31
_space_group_name_Hall 'P 2ac -2'
_cell_length_a 10.919
_cell_length_b 7.033
_cell_length_c 6.046
_cell_angle_alpha 90.00
_cell_angle_beta 90.00
_cell_angle_gamma 90.00
loop_
_atom_site_label
_atom_site_type_symbol
_atom_site_fract_x
_atom_site_fract_y
_atom_site_fract_z
Pr1 Pr 0.000 0.119 0.000
Er1 Er 0.000 0.372 0.498
Er2 Er 0.000 0.631 0.993
Er3 Er 0.245 0.630 0.338
Sc1 Sc 0.000 0.876 0.502
Sc2 Sc 0.249 0.121 0.331
```